1.
Compound: AlCuN
Source: Alexandria
Functional: GGA-PBE
Structure: optimized geometry

Output
total DFT energy (no corrections) = -5.758 eV/atom
density of states at the Fermi level = 2.62 states/eV/cell
symmetry = Pnma, No. 62
total moment = 0.000 μB per formula unit
offset from the most stable computed form = 51 meV per atom

a = 9.123 Å, b = 3.130 Å, c = 5.533 Å
α = 90.00°, β = 90.00°, γ = 90.00°
Atoms (fractional coordinates):
Al: 0.221 0.250 0.102
Al: 0.279 0.750 0.602
Al: 0.721 0.250 0.398
Al: 0.779 0.750 0.898
Cu: 0.006 0.250 0.819
Cu: 0.494 0.750 0.319
Cu: 0.506 0.250 0.681
Cu: 0.994 0.750 0.181
N: 0.249 0.250 0.770
N: 0.251 0.750 0.270
N: 0.749 0.250 0.730
N: 0.751 0.750 0.230



2.
Compound: TbHfTcRh
Source: Alexandria
Functional: GGA-PBE
Structure: optimized geometry

Output
total DFT energy (no corrections) = -8.588 eV/atom
density of states at the Fermi level = 3.05 states/eV/cell
energy relative to the elements = -0.513 eV/atom
symmetry = F-43m, No. 216
total moment = 0.000 μB per formula unit

a = 4.723 Å, b = 4.723 Å, c = 4.723 Å
α = 60.00°, β = 60.00°, γ = 60.00°
Atoms (fractional coordinates):
Tb: 0.000 0.000 0.000
Hf: 0.500 0.500 0.500
Tc: 0.750 0.750 0.750
Rh: 0.250 0.250 0.250



3.
Compound: Rb6CdBr8
Source: Alexandria
Functional: GGA-PBE
Structure: optimized geometry

Output
total DFT energy (no corrections) = -2.885 eV/atom
density of states at the Fermi level = 0.00 states/eV/cell
symmetry = R-3, No. 148
total moment = 0.000 μB per formula unit

a = 8.896 Å, b = 8.896 Å, c = 8.896 Å
α = 69.36°, β = 69.36°, γ = 69.36°
Atoms (fractional coordinates):
Rb: 0.018 0.441 0.801
Rb: 0.199 0.982 0.559
Rb: 0.441 0.801 0.018
Rb: 0.559 0.199 0.982
Rb: 0.801 0.018 0.441
Rb: 0.982 0.559 0.199
Cd: 0.500 0.500 0.500
Br: 0.156 0.156 0.156
Br: 0.193 0.655 0.407
Br: 0.345 0.593 0.807
Br: 0.407 0.193 0.655
Br: 0.593 0.807 0.345
Br: 0.655 0.407 0.193
Br: 0.807 0.345 0.593
Br: 0.844 0.844 0.844



4.
Compound: ZrV2Tc
Source: Alexandria
Functional: GGA-PBE
Structure: optimized geometry

Output
total DFT energy (no corrections) = -9.389 eV/atom
density of states at the Fermi level = 5.08 states/eV/cell
energy relative to the elements = -0.101 eV/atom
symmetry = P4/mmm, No. 123
total moment = 0.001 μB per formula unit
offset from the most stable computed form = 0 meV per atom

a = 3.069 Å, b = 3.069 Å, c = 6.776 Å
α = 90.00°, β = 90.00°, γ = 90.00°
Atoms (fractional coordinates):
Zr: 0.000 0.000 0.000
V: 0.500 0.500 0.286
V: 0.500 0.500 0.714
Tc: 0.000 0.000 0.500



5.
Compound: TcHgW2
Source: Alexandria
Functional: GGA-PBE
Structure: optimized geometry

Output
total DFT energy (no corrections) = -8.668 eV/atom
density of states at the Fermi level = 2.52 states/eV/cell
energy relative to the elements = 0.475 eV/atom
symmetry = P4mm, No. 99
total moment = 0.000 μB per formula unit

a = 3.285 Å, b = 3.285 Å, c = 6.333 Å
α = 90.00°, β = 90.00°, γ = 90.00°
Atoms (fractional coordinates):
Tc: 0.000 0.000 0.000
Hg: 0.500 0.500 0.717
W: 0.000 0.000 0.432
W: 0.500 0.500 0.208



6.
Compound: Cs2UBeSe5
Source: Alexandria
Functional: GGA-PBE
Structure: optimized geometry

Output
total DFT energy (no corrections) = -4.785 eV/atom
density of states at the Fermi level = 6.24 states/eV/cell
symmetry = Cmc2_1, No. 36
total moment = 0.721 μB per formula unit

a = 10.613 Å, b = 10.613 Å, c = 15.299 Å
α = 90.00°, β = 90.00°, γ = 157.79°
Atoms (fractional coordinates):
Cs: 0.122 0.878 0.500
Cs: 0.124 0.876 0.866
Cs: 0.876 0.124 0.366
Cs: 0.878 0.122 0.000
U: 0.196 0.804 0.193
U: 0.804 0.196 0.693
Be: 0.418 0.582 0.603
Be: 0.582 0.418 0.103
Se: 0.067 0.933 0.185
Se: 0.304 0.696 0.814
Se: 0.311 0.689 0.568
Se: 0.320 0.680 0.182
Se: 0.482 0.518 0.493
Se: 0.518 0.482 0.993
Se: 0.680 0.320 0.682
Se: 0.689 0.311 0.068
Se: 0.696 0.304 0.314
Se: 0.933 0.067 0.685



7.
Compound: Na2Zn4InSn3
Source: Alexandria
Functional: GGA-PBE
Structure: optimized geometry

Output
total DFT energy (no corrections) = -2.309 eV/atom
density of states at the Fermi level = 3.45 states/eV/cell
energy relative to the elements = -0.061 eV/atom
symmetry = P-4m2, No. 115
total moment = 0.000 μB per formula unit

a = 4.424 Å, b = 4.424 Å, c = 12.173 Å
α = 90.00°, β = 90.00°, γ = 90.00°
Atoms (fractional coordinates):
Na: 0.000 0.500 0.248
Na: 0.500 0.000 0.752
Zn: 0.000 0.000 0.000
Zn: 0.000 0.500 0.647
Zn: 0.500 0.000 0.353
Zn: 0.500 0.500 0.000
In: 0.000 0.000 0.500
Sn: 0.000 0.500 0.863
Sn: 0.500 0.000 0.137
Sn: 0.500 0.500 0.500



8.
Compound: Zr2Fe3P
Source: Alexandria
Functional: GGA-PBE
Structure: optimized geometry

Output
total DFT energy (no corrections) = -8.546 eV/atom
density of states at the Fermi level = 8.26 states/eV/cell
energy relative to the elements = -0.564 eV/atom
symmetry = P6_3/mmc, No. 194
total moment = 3.836 μB per formula unit

a = 4.951 Å, b = 4.951 Å, c = 7.966 Å
α = 90.00°, β = 90.00°, γ = 120.00°
Atoms (fractional coordinates):
Zr: 0.333 0.667 0.064
Zr: 0.333 0.667 0.436
Zr: 0.667 0.333 0.564
Zr: 0.667 0.333 0.936
Fe: 0.169 0.338 0.750
Fe: 0.169 0.831 0.750
Fe: 0.338 0.169 0.250
Fe: 0.662 0.831 0.750
Fe: 0.831 0.169 0.250
Fe: 0.831 0.662 0.250
P: 0.000 0.000 0.000
P: 0.000 0.000 0.500



9.
Compound: CdFe2Re
Source: Alexandria
Functional: GGA-PBE
Structure: optimized geometry

Output
total DFT energy (no corrections) = -6.927 eV/atom
density of states at the Fermi level = 3.87 states/eV/cell
energy relative to the elements = 0.645 eV/atom
symmetry = F-43m, No. 216
total moment = 3.776 μB per formula unit

a = 4.343 Å, b = 4.343 Å, c = 4.343 Å
α = 60.00°, β = 60.00°, γ = 60.00°
Atoms (fractional coordinates):
Cd: 0.000 0.000 0.000
Fe: 0.500 0.500 0.500
Fe: 0.750 0.750 0.750
Re: 0.250 0.250 0.250



10.
Compound: NiSbWI2
Source: Alexandria
Functional: GGA-PBE
Structure: optimized geometry

Output
total DFT energy (no corrections) = -3.848 eV/atom
density of states at the Fermi level = 5.62 states/eV/cell
symmetry = P4/mmm, No. 123
total moment = 3.240 μB per formula unit
offset from the most stable computed form = 34 meV per atom

a = 5.105 Å, b = 5.105 Å, c = 5.087 Å
α = 90.00°, β = 90.00°, γ = 90.00°
Atoms (fractional coordinates):
Ni: 0.000 0.000 0.000
Sb: 0.000 0.000 0.500
W: 0.500 0.500 0.500
I: 0.000 0.500 0.000
I: 0.500 0.000 0.000



11.
Compound: CaAsI2
Source: Alexandria
Functional: GGA-PBE
Structure: optimized geometry

Output
total DFT energy (no corrections) = -2.757 eV/atom
density of states at the Fermi level = 2.20 states/eV/cell
symmetry = Fm-3m, No. 225
total moment = 2.906 μB per formula unit
offset from the most stable computed form = 46 meV per atom

a = 5.678 Å, b = 5.678 Å, c = 5.678 Å
α = 60.00°, β = 60.00°, γ = 60.00°
Atoms (fractional coordinates):
Ca: 0.000 0.000 0.000
As: 0.500 0.500 0.500
I: 0.250 0.250 0.250
I: 0.750 0.750 0.750



12.
Compound: SrCrFeW2
Source: Alexandria
Functional: GGA-PBE
Structure: optimized geometry

Output
total DFT energy (no corrections) = -5.525 eV/atom
density of states at the Fermi level = 8.70 states/eV/cell
energy relative to the elements = 3.610 eV/atom
symmetry = P4/mmm, No. 123
total moment = 0.001 μB per formula unit

a = 4.760 Å, b = 4.760 Å, c = 4.254 Å
α = 90.00°, β = 90.00°, γ = 90.00°
Atoms (fractional coordinates):
Sr: 0.000 0.000 0.000
Cr: 0.500 0.500 0.500
Fe: 0.000 0.000 0.500
W: 0.000 0.500 0.000
W: 0.500 0.000 0.000



Look up the total DFT energy (no corrections) of the fifth one.
-8.668 eV/atom



Which value of density of states at the Fermi level does entry 12 give?
8.70 states/eV/cell